Entry from Alexandria via LeMat-Bulk: Mn6AsO12 after structural relaxation (GGA+U).

Values from the calculation:
The total energy comes out at -7.1664 eV/atom.

Geometry as CIF:
```
data_Mn6AsO12
_chemical_formula_sum 'Mn18 As3 O36'
_space_group_name_H-M_alt 'R -3'
_space_group_IT_number 148
_space_group_name_Hall '-R 3'
_cell_length_a 8.9652
_cell_length_b 8.9652
_cell_length_c 8.4622
_cell_angle_alpha 90.00
_cell_angle_beta 90.00
_cell_angle_gamma 120.00
loop_
_atom_site_label
_atom_site_type_symbol
_atom_site_fract_x
_atom_site_fract_y
_atom_site_fract_z
Mn1 Mn 0.0398 0.2562 0.1519
As1 As 0.0000 0.0000 0.5000
O1 O 0.0157 0.2179 0.8935
O2 O 0.0174 0.1824 0.3811
```